# 1
## NaHo2Cd (PBE)

Data for a relaxed structure of NaHo2Cd.

distance to the lowest polymorph of the same formula: 0.000 eV/atom
total magnetization: 0.001 μB/atom
calculated formation energy: 17 kJ/mol of formula units

a = 3.724 Å, b = 3.724 Å, c = 8.572 Å
α = 90.00°, β = 90.00°, γ = 90.00°
Positions (direct):
Ho (0.000, 0.000, 0.792)
Na (0.500, 0.500, 0.500)
Ho (0.000, 0.000, 0.208)
Cd (0.500, 0.500, 0.000)

---

# 2
## NaHo2Cd6 (PBE)

Data for a relaxed structure of NaHo2Cd6.

total magnetization: 0.000 μB/atom
calculated formation energy: -205 kJ/mol of formula units

a = 3.346 Å, b = 8.692 Å, c = 8.692 Å
α = 60.00°, β = 89.98°, γ = 89.98°
Positions (direct):
Cd (0.500, 0.667, 0.333)
Cd (0.500, 0.333, 0.667)
Cd (0.501, 0.000, 0.333)
Na (0.000, 0.000, 0.000)
Cd (0.499, 0.667, 0.000)
Ho (0.000, 0.667, 0.667)
Cd (0.501, 0.333, 0.000)
Cd (0.499, 0.000, 0.667)
Ho (0.000, 0.333, 0.333)